VASP calculation (GGA+U) on an optimized crystal structure of MoPtN2F.

Unit cell a=3.921 b=3.921 c=4.500 alpha=90.00 beta=90.00 gamma=90.00
Site moments in Bohr magnetons follow the coordinates.
Atoms (fractional coordinates):
Mo: 0.500 0.500 0.500  3.84
N: 0.000 0.500 0.000  -0.51
N: 0.500 0.000 0.000  -0.51
Pt: 0.000 0.000 0.000  -0.31
F: 0.000 0.000 0.500  0.03

Output
Fermi-level density of states = 2.649 states/eV/cell
E above lowest polymorph = 277.7 meV per atom
space-group type = P4/mmm, No. 123